No. 1
Crystalline LaPm2DyY2 at its relaxed geometry, computed with PBE.

Results
Density   6.239 g/cm3
Density of states at the Fermi level   9.74 states/eV/f.u.
Formation energy from the elements   250 meV/atom
Calculated volume   34.12 Å³/atom

Cell lengths 3.4230, 6.6667, 17.9423 Å; angles 90.00, 90.00, 90.00 degrees
Closest atoms and distances in Å follow each position.
Fractional positions:
La: 0.0000 0.0000 0.0000  2 Pm 3.26, 2 La 3.42, 2 Y 3.61
La: 0.5000 0.5000 0.5000  2 Pm 3.26, 2 La 3.42, 2 Y 3.61
Y: 0.0000 0.2253 0.1830  4 Pm 3.36-3.47, 2 Y 3.42, 1 La 3.61
Y: 0.5000 0.7253 0.3170  4 Pm 3.36-3.47, 2 Y 3.42, 1 La 3.61
Y: 0.5000 0.2747 0.6830  4 Pm 3.36-3.47, 2 Y 3.42, 1 La 3.61
Y: 0.0000 0.7747 0.8170  4 Pm 3.36-3.47, 2 Y 3.42, 1 La 3.61
Pm: 0.5000 0.2213 0.3510  1 La 3.26, 4 Y 3.36-3.47, 2 Pm 3.42, 2 Dy 3.50
Pm: 0.0000 0.2787 0.8510  1 La 3.26, 4 Y 3.36-3.47, 2 Pm 3.42, 2 Dy 3.50
Pm: 0.5000 0.7787 0.6490  1 La 3.26, 4 Y 3.36-3.47, 2 Pm 3.42, 2 Dy 3.50
Pm: 0.0000 0.7213 0.1490  1 La 3.26, 4 Y 3.36-3.47, 2 Pm 3.42, 2 Dy 3.50
Dy: 0.0000 0.0000 0.5000  2 Dy 3.42, 4 Pm 3.50, 4 La 3.75
Dy: 0.5000 0.5000 0.0000  2 Dy 3.42, 4 Pm 3.50, 4 La 3.75


No. 2
Crystalline LaPm5DyY2 at its relaxed geometry, computed with PBE.

Results
Density   6.453 g/cm3
Density of states at the Fermi level   14.53 states/eV/f.u.
Formation energy from the elements   146 meV/atom
Calculated volume   34.43 Å³/atom

Cell lengths 5.7353, 10.5114, 10.6860 Å; angles 90.00, 90.00, 105.83 degrees
Closest atoms and distances in Å follow each position.
Fractional positions:
Pm: 0.3872 0.7745 0.0237  6 Pm 3.55-3.90, 4 Y 3.59-3.63, 1 Dy 3.76
Pm: 0.9817 0.9635 0.5244  2 La 3.25, 2 Y 3.46-3.47
Pm: 0.7038 0.4076 0.2053  4 Pm 3.47-3.87, 3 Dy 3.55-3.78, 3 Y 3.60-3.72, 1 La 3.63
Pm: 0.7182 0.4365 0.8130  1 La 3.11, 1 Y 3.36, 2 Pm 3.47
Pm: 0.2818 0.5635 0.3130  1 La 3.11, 1 Y 3.36, 2 Pm 3.47
Pm: 0.5199 0.0399 0.2408  2 La 3.08-3.34
Pm: 0.4801 0.9601 0.7408  2 La 3.08-3.34
Pm: 0.2962 0.5924 0.7053  4 Pm 3.47-3.87, 3 Dy 3.55-3.78, 3 Y 3.60-3.72, 1 La 3.63
Pm: 0.6128 0.2255 0.5237  6 Pm 3.55-3.90, 4 Y 3.59-3.63, 1 Dy 3.76
Pm: 0.0183 0.0365 0.0244  2 La 3.25, 2 Y 3.46-3.47
La: 0.4165 0.8330 0.4528  5 Pm 3.08-3.34
La: 0.5835 0.1670 0.9528  5 Pm 3.08-3.34
Dy: 0.7987 0.5974 0.5103  2 Y 3.47-3.75, 8 Pm 3.55-3.78, 2 La 3.78
Dy: 0.2013 0.4026 0.0103  2 Y 3.47-3.75, 8 Pm 3.55-3.78, 2 La 3.78
Y: 0.8842 0.7683 0.8212  9 Pm 3.36-3.74, 1 Dy 3.75
Y: 0.8873 0.7746 0.2324  7 Pm 3.46-3.72, 1 Dy 3.47, 2 La 3.76
Y: 0.1127 0.2254 0.7324  7 Pm 3.46-3.72, 1 Dy 3.47, 2 La 3.76
Y: 0.1158 0.2317 0.3212  9 Pm 3.36-3.74, 1 Dy 3.75


No. 3
Crystalline La3Pm6DyY2 at its relaxed geometry, computed with PBE.

Results
Density   6.526 g/cm3
Density of states at the Fermi level   19.66 states/eV/f.u.
Formation energy from the elements   19 meV/atom
Calculated volume   34.50 Å³/atom

Cell lengths 6.3347, 6.3347, 12.1064 Å; angles 95.02, 95.02, 120.05 degrees
Closest atoms and distances in Å follow each position.
Fractional positions:
Y: 0.3333 0.6667 0.0000  6 Pm 3.60, 3 Dy 3.66, 3 Y 3.66
Y: 0.6667 0.3333 0.0000  6 Pm 3.60, 3 Dy 3.66, 3 Y 3.66
Pm: 0.2512 0.2512 0.7552  1 Dy 3.60, 2 Y 3.60, 6 Pm 3.65-3.66, 3 La 3.70-3.71
Pm: 0.5861 0.9187 0.7554  1 Dy 3.60, 2 Y 3.60, 6 Pm 3.65-3.66, 3 La 3.70-3.71
Pm: 0.9187 0.5861 0.7554  1 Dy 3.60, 2 Y 3.60, 6 Pm 3.65-3.66, 3 La 3.70-3.71
Pm: 0.4139 0.0813 0.2446  1 Dy 3.60, 2 Y 3.60, 6 Pm 3.65-3.66, 3 La 3.70-3.71
Pm: 0.0813 0.4139 0.2446  1 Dy 3.60, 2 Y 3.60, 6 Pm 3.65-3.66, 3 La 3.70-3.71
Pm: 0.7488 0.7488 0.2448  1 Dy 3.60, 2 Y 3.60, 6 Pm 3.65-3.66, 3 La 3.70-3.71
La: 0.1667 0.8333 0.5000  6 La 3.65-3.66, 6 Pm 3.70-3.71
La: 0.5000 0.5000 0.5000  6 La 3.66, 6 Pm 3.70-3.71
La: 0.8333 0.1667 0.5000  6 La 3.65-3.66, 6 Pm 3.70-3.71
Dy: 0.0000 0.0000 0.0000  6 Pm 3.60, 6 Y 3.66


No. 4
Crystalline La5Pm2DyY at its relaxed geometry, computed with PBE.

Results
Density   6.345 g/cm3
Density of states at the Fermi level   17.14 states/eV/f.u.
Formation energy from the elements   272 meV/atom
Calculated volume   35.94 Å³/atom

Cell lengths 8.7559, 8.7559, 10.4654 Å; angles 114.73, 114.73, 90.00 degrees
Closest atoms and distances in Å follow each position.
Fractional positions:
Pm: 0.8789 0.6211 0.0000  1 Pm 3.00, 2 La 3.13
Pm: 0.1211 0.3789 0.0000  1 Pm 3.00, 2 La 3.13
Pm: 0.6211 0.1211 0.0000  1 Pm 3.00, 2 La 3.13
Pm: 0.3789 0.8789 0.0000  1 Pm 3.00, 2 La 3.13
La: 0.9253 0.4253 0.2862  1 Pm 3.13, 1 Y 3.24
La: 0.4253 0.3609 0.2862  1 Pm 3.13, 1 Y 3.24
La: 0.3609 0.8609 0.2862  1 Pm 3.13, 1 Y 3.24
La: 0.5000 0.5000 0.0000  4 Pm 3.48
La: 0.1391 0.0747 0.7138  1 Pm 3.13, 1 Y 3.24
La: 0.0000 0.0000 0.0000  4 Pm 3.48
La: 0.8609 0.9253 0.2862  1 Pm 3.13, 1 Y 3.24
La: 0.6391 0.1391 0.7138  1 Pm 3.13, 1 Y 3.24
La: 0.5747 0.6391 0.7138  1 Pm 3.13, 1 Y 3.24
La: 0.0747 0.5747 0.7138  1 Pm 3.13, 1 Y 3.24
Y: 0.2500 0.7500 0.5000  4 La 3.24
Y: 0.7500 0.2500 0.5000  4 La 3.24
Dy: 0.7500 0.7500 0.5000  8 La 3.60
Dy: 0.2500 0.2500 0.5000  8 La 3.60


No. 5
Crystalline LaPm6Dy3Y2 at its relaxed geometry, computed with PBE.

Results
Density   6.913 g/cm3
Density of states at the Fermi level   15.96 states/eV/f.u.
Formation energy from the elements   17 meV/atom
Calculated volume   33.51 Å³/atom

Cell lengths 6.2758, 6.2758, 11.9737 Å; angles 95.01, 95.01, 119.99 degrees
Closest atoms and distances in Å follow each position.
Fractional positions:
Pm: 0.0844 0.4183 0.2531  3 Dy 3.58-3.59, 6 Pm 3.62-3.63, 2 Y 3.64, 1 La 3.65
Pm: 0.4183 0.0844 0.2531  3 Dy 3.58-3.59, 6 Pm 3.62-3.63, 2 Y 3.64, 1 La 3.65
Pm: 0.2493 0.2493 0.7467  3 Dy 3.58-3.59, 6 Pm 3.62-3.63, 2 Y 3.64, 1 La 3.65
Pm: 0.5817 0.9156 0.7469  3 Dy 3.58-3.59, 6 Pm 3.62-3.63, 2 Y 3.64, 1 La 3.65
Pm: 0.9156 0.5817 0.7469  3 Dy 3.58-3.59, 6 Pm 3.62-3.63, 2 Y 3.64, 1 La 3.65
Pm: 0.7507 0.7507 0.2533  3 Dy 3.58-3.59, 6 Pm 3.62-3.63, 2 Y 3.64, 1 La 3.65
Dy: 0.8328 0.1672 0.5000  6 Pm 3.58-3.59, 6 Dy 3.62-3.63
Dy: 0.1672 0.8328 0.5000  6 Pm 3.58-3.59, 6 Dy 3.62-3.63
Dy: 0.5000 0.5000 0.5000  6 Pm 3.58-3.59, 6 Dy 3.62-3.63
Y: 0.6665 0.3335 0.0000  3 Y 3.62-3.63, 3 La 3.62-3.63, 6 Pm 3.64
Y: 0.3335 0.6665 0.0000  3 Y 3.62-3.63, 3 La 3.62-3.63, 6 Pm 3.64
La: 0.0000 0.0000 0.0000  6 Y 3.62-3.63, 6 Pm 3.65


No. 6
Crystalline LaPmDyZn at its relaxed geometry, computed with PBE.

Results
Density   7.246 g/cm3
Density of states at the Fermi level   5.81 states/eV/f.u.
Formation energy from the elements   -150 meV/atom
Calculated volume   29.32 Å³/atom
Offset from the most stable computed form   0.0 meV/atom

Cell lengths 3.6469, 3.6469, 8.8189 Å; angles 90.00, 90.00, 90.00 degrees
Closest atoms and distances in Å follow each position.
Fractional positions:
Zn: 0.0000 0.0000 0.5616  4 Dy 3.08, 4 Pm 3.18
La: 0.0000 0.0000 0.0779  4 La 3.65, 4 Dy 3.65, 4 Pm 3.72
Dy: 0.5000 0.5000 0.3716  4 Zn 3.08
Pm: 0.5000 0.5000 0.7736  4 Zn 3.18, 1 Dy 3.54


No. 7
Crystalline LaPmDyZn at its relaxed geometry, computed with PBE.

Results
Density   7.325 g/cm3
Density of states at the Fermi level   5.61 states/eV/f.u.
Formation energy from the elements   67 meV/atom
Calculated volume   29.01 Å³/atom
Offset from the most stable computed form   217.3 meV/atom

Cell lengths 5.4746, 5.4746, 5.4746 Å; angles 60.00, 60.00, 60.00 degrees
Closest atoms and distances in Å follow each position.
Fractional positions:
Dy: 0.2500 0.2500 0.2500  4 Pm 3.35, 4 Zn 3.35
Zn: 0.0000 0.0000 0.0000  4 La 3.35, 4 Dy 3.35
Pm: 0.5000 0.5000 0.5000  4 Dy 3.35, 4 La 3.35
La: 0.7500 0.7500 0.7500  4 Pm 3.35, 4 Zn 3.35


No. 8
Crystalline LaPmDyZr at its relaxed geometry, computed with PBE.

Results
Density   7.348 g/cm3
Density of states at the Fermi level   7.51 states/eV/f.u.
Formation energy from the elements   209 meV/atom
Calculated volume   30.37 Å³/atom

Cell lengths 5.5593, 5.5593, 5.5593 Å; angles 60.00, 60.00, 60.00 degrees
Closest atoms and distances in Å follow each position.
Fractional positions:
La: 0.5000 0.5000 0.5000  4 Dy 3.40, 4 Zr 3.40
Pm: 0.0000 0.0000 0.0000  4 Zr 3.40, 4 Dy 3.40
Zr: 0.2500 0.2500 0.2500  4 La 3.40, 4 Pm 3.40
Dy: 0.7500 0.7500 0.7500  4 Pm 3.40, 4 La 3.40


No. 9
Crystalline LaPrDy4 at its relaxed geometry, computed with PBE.

Results
Density   7.740 g/cm3
Density of states at the Fermi level   9.14 states/eV/f.u.
Formation energy from the elements   67 meV/atom
Calculated volume   33.25 Å³/atom
Offset from the most stable computed form   41.5 meV/atom

Cell lengths 5.7862, 11.3004, 7.0853 Å; angles 90.00, 90.00, 120.55 degrees
Closest atoms and distances in Å follow each position.
Fractional positions:
Dy: 0.6977 0.9194 0.2500  4 Pr 3.28-3.56, 1 La 3.31, 4 Dy 3.63-3.65
Dy: 0.9999 0.7523 0.5012  8 Dy 3.53-3.91, 3 Pr 3.64-3.87, 3 La 3.64-3.93
Dy: 0.0001 0.2477 0.4988  8 Dy 3.53-3.91, 3 Pr 3.64-3.87, 3 La 3.64-3.93
Dy: 0.3023 0.0806 0.7500  4 Pr 3.28-3.56, 1 La 3.31, 4 Dy 3.63-3.65
Dy: 0.0001 0.2477 0.0012  8 Dy 3.53-3.91, 3 Pr 3.64-3.87, 3 La 3.64-3.93
Dy: 0.3617 0.5838 0.7500  1 Pr 3.27, 4 La 3.29-3.56, 2 Dy 3.64
Dy: 0.6383 0.4162 0.2500  1 Pr 3.27, 4 La 3.29-3.56, 2 Dy 3.64
Dy: 0.9999 0.7523 0.9988  8 Dy 3.53-3.91, 3 Pr 3.64-3.87, 3 La 3.64-3.93
La: 0.7019 0.4189 0.7500  7 Dy 3.29-3.64
La: 0.2981 0.5811 0.2500  7 Dy 3.29-3.64
Pr: 0.6386 0.9182 0.7500  7 Dy 3.27-3.64
Pr: 0.3614 0.0818 0.2500  7 Dy 3.27-3.64


No. 10
Crystalline La7Pr4Dy at its relaxed geometry, computed with PBE.

Results
Density   6.459 g/cm3
Density of states at the Fermi level   20.49 states/eV/f.u.
Formation energy from the elements   207 meV/atom
Calculated volume   36.39 Å³/atom
Offset from the most stable computed form   190.9 meV/atom

Cell lengths 6.1680, 9.4353, 9.0506 Å; angles 64.47, 70.08, 70.92 degrees
Closest atoms and distances in Å follow each position.
Fractional positions:
Pr: 0.6879 0.6806 0.9435  5 La 3.05-3.42
Pr: 0.4576 0.7187 0.3661  4 La 3.22-3.53
Pr: 0.3121 0.3194 0.0565  5 La 3.05-3.42
Pr: 0.5424 0.2813 0.6339  4 La 3.22-3.53
La: 0.1860 0.1034 0.5247  5 La 3.58-3.98, 3 Pr 3.74-3.75, 1 Dy 3.81
La: 0.0755 0.5758 0.2731  3 Pr 3.42-3.53, 1 La 3.60, 1 Dy 3.66
La: 0.7291 0.3168 0.2250  4 Pr 3.27-3.40, 1 La 3.58
La: 0.2709 0.6832 0.7750  4 Pr 3.27-3.40, 1 La 3.58
La: 0.9245 0.4242 0.7269  3 Pr 3.42-3.53, 1 La 3.60, 1 Dy 3.66
La: 0.5000 0.0000 0.0000  4 Pr 3.05-3.22, 2 Dy 3.08
La: 0.8140 0.8966 0.4753  5 La 3.58-3.98, 3 Pr 3.74-3.75, 1 Dy 3.81
Dy: 0.0000 0.0000 0.0000  2 La 3.08


Number 1: size of the total moment 0.00 μB per atom. Number 2: size of the total moment 0.00 μB per atom. Number 3: size of the total moment 0.00 μB per atom. Number 4: size of the total moment 0.00 μB per atom. Number 5: size of the total moment 0.00 μB per atom. Number 6: size of the total moment 0.00 μB per atom. Number 7: size of the total moment 0.00 μB per atom. Number 8: size of the total moment 0.03 μB per atom. Number 9: size of the total moment 0.00 μB per atom. Number 10: size of the total moment 0.00 μB per atom.